A) VASP calculation (PBE) on crystalline Ho6Zn2Hg at its relaxed geometry.

Unit cell a=11.2077 b=11.2077 c=11.2077 alpha=154.49 beta=154.49 gamma=36.39
Sites, in units of the cell vectors:
Ho  0.0872  0.5872  0.5000
Ho  0.2500  0.7500  0.5000
Ho  0.4128  0.9128  0.5000
Ho  0.5872  0.0872  0.5000
Ho  0.7500  0.2500  0.5000
Ho  0.9128  0.4128  0.5000
Zn  0.1671  0.1671  0.0000
Zn  0.8329  0.8329  0.0000
Hg  0.5000  0.5000  0.0000



B) VASP calculation (PBE) on crystalline Ho6Zn2Hg at its relaxed geometry.

Unit cell a=8.5239 b=8.5239 c=8.5239 alpha=110.84 beta=109.55 gamma=108.03
Sites, in units of the cell vectors:
Ho  0.0354  0.8206  0.2149
Ho  0.2445  0.5416  0.2971
Ho  0.2445  0.9474  0.7029
Ho  0.2707  0.3193  0.5900
Ho  0.2707  0.6807  0.9514
Ho  0.3943  0.1794  0.2149
Ho  0.6057  0.8206  0.7851
Ho  0.7293  0.3193  0.0486
Ho  0.7293  0.6807  0.4100
Ho  0.7555  0.0526  0.2971
Ho  0.7555  0.4584  0.7029
Ho  0.9646  0.1794  0.7851
Zn  0.0000  0.1361  0.1361
Zn  0.0000  0.8639  0.8639
Zn  0.3743  0.3743  0.0000
Zn  0.6257  0.6257  0.0000
Hg  0.0000  0.5000  0.5000
Hg  0.5000  0.0000  0.5000



Which of them is most stable, and which least? Most stable: B); least stable: A).



A) VASP calculation (PBE) on crystalline Ho4Zn3Hg at its relaxed geometry.

Unit cell a=3.6999 b=4.5651 c=11.3041 alpha=90.00 beta=90.00 gamma=90.00
Sites, in units of the cell vectors:
Ho  0.0000  0.0000  0.0000
Ho  0.0000  0.5000  0.2958
Ho  0.5000  0.0000  0.4881
Ho  0.5000  0.5000  0.8025
Zn  0.0000  0.5000  0.5662
Zn  0.5000  0.0000  0.2169
Zn  0.5000  0.5000  0.0755
Hg  0.0000  0.0000  0.7200



B) VASP calculation (PBE) on crystalline Ho4Zn3Hg at its relaxed geometry.

Unit cell a=5.0624 b=5.0624 c=7.2473 alpha=90.00 beta=90.00 gamma=90.00
Sites, in units of the cell vectors:
Ho  0.0000  0.5000  0.2412
Ho  0.0000  0.5000  0.7588
Ho  0.5000  0.0000  0.2412
Ho  0.5000  0.0000  0.7588
Zn  0.0000  0.0000  0.0000
Zn  0.0000  0.0000  0.5000
Zn  0.5000  0.5000  0.0000
Hg  0.5000  0.5000  0.5000



Which of them is most stable, and which least? Most stable: B); least stable: A).



A) VASP calculation (PBE) on crystalline HoZr2Hg at its relaxed geometry.

Unit cell a=4.5045 b=4.5045 c=4.6266 alpha=90.00 beta=90.00 gamma=90.00
Sites, in units of the cell vectors:
Ho  0.0000  0.0000  0.0000
Zr  0.0000  0.5000  0.5000
Zr  0.5000  0.0000  0.5000
Hg  0.5000  0.5000  0.0000



B) VASP calculation (PBE) on crystalline HoZr2Hg at its relaxed geometry.

Unit cell a=11.6237 b=11.6237 c=11.6237 alpha=15.64 beta=15.64 gamma=15.64
Sites, in units of the cell vectors:
Ho  0.0000  0.0000  0.0000
Zr  0.0928  0.0928  0.0928
Zr  0.9072  0.9072  0.9072
Hg  0.5000  0.5000  0.5000



Which of them is most stable, and which least? Most stable: A); least stable: B).



A) VASP calculation (PBE) on crystalline Ho2ZrHg at its relaxed geometry.

Unit cell a=11.6064 b=11.6064 c=11.6064 alpha=16.41 beta=16.41 gamma=16.41
Sites, in units of the cell vectors:
Ho  0.0923  0.0923  0.0923
Ho  0.9077  0.9077  0.9077
Zr  0.0000  0.0000  0.0000
Hg  0.5000  0.5000  0.5000



B) VASP calculation (PBE) on crystalline Ho2ZrHg at its relaxed geometry.

Unit cell a=3.4622 b=3.4622 c=8.7081 alpha=90.00 beta=90.00 gamma=90.00
Sites, in units of the cell vectors:
Ho  0.0000  0.0000  0.2404
Ho  0.0000  0.0000  0.7596
Zr  0.5000  0.5000  0.5000
Hg  0.5000  0.5000  0.0000



C) VASP calculation (PBE) on crystalline Ho2ZrHg at its relaxed geometry.

Unit cell a=10.3536 b=10.3536 c=10.3536 alpha=19.51 beta=19.51 gamma=19.51
Sites, in units of the cell vectors:
Ho  0.0000  0.0000  0.0000
Ho  0.1708  0.1708  0.1708
Zr  0.4185  0.4185  0.4185
Hg  0.5851  0.5851  0.5851



Which of them is most stable, and which least? Most stable: B); least stable: A).



A) VASP calculation (PBE) on crystalline Hg2I at its relaxed geometry.

Unit cell a=6.3763 b=6.3763 c=6.3763 alpha=60.00 beta=60.00 gamma=60.00
Sites, in units of the cell vectors:
Hg  0.0000  0.0000  0.0000
Hg  0.0000  0.0000  0.5000
Hg  0.0000  0.5000  0.0000
Hg  0.5000  0.0000  0.0000
I  0.3750  0.3750  0.3750
I  0.6250  0.6250  0.6250



B) VASP calculation (PBE) on crystalline Hg2I at its relaxed geometry.

Unit cell a=5.3369 b=5.3369 c=5.7508 alpha=117.57 beta=117.57 gamma=90.00
Sites, in units of the cell vectors:
Hg  0.1602  0.1602  0.3207
Hg  0.8398  0.8398  0.6793
I  0.5000  0.5000  0.0000



Which of them is most stable, and which least? Most stable: B); least stable: A).



A) VASP calculation (PBE) on crystalline Hg4I at its relaxed geometry.

Unit cell a=4.8746 b=7.6913 c=9.2824 alpha=92.59 beta=90.17 gamma=108.46
Sites, in units of the cell vectors:
Hg  0.0000  0.0000  0.0000
Hg  0.0073  0.1262  0.3166
Hg  0.0855  0.2839  0.6109
Hg  0.1438  0.7999  0.4132
Hg  0.2117  0.4087  0.9269
Hg  0.3964  0.7687  0.1184
Hg  0.5491  0.6095  0.5141
Hg  0.8357  0.6403  0.8089
I  0.4929  0.0284  0.7240
I  0.6691  0.3807  0.2027



B) VASP calculation (PBE) on crystalline Hg4I at its relaxed geometry.

Unit cell a=6.5711 b=6.5711 c=6.5711 alpha=90.00 beta=90.00 gamma=90.00
Sites, in units of the cell vectors:
Hg  0.0000  0.0000  0.0000
Hg  0.0000  0.5000  0.5000
Hg  0.5000  0.0000  0.5000
Hg  0.5000  0.5000  0.0000
I  0.5000  0.5000  0.5000



Which of them is most stable, and which least? Most stable: A); least stable: B).